No. 1
First-principles (meta-GGA SCAN) data for a PBEsol-optimized structure of LiBe3F, as listed in Alexandria via LeMat-Bulk.

a = 4.0853 Å, b = 4.0853 Å, c = 4.0853 Å
α = 90.00°, β = 90.00°, γ = 90.00°
Last column: nearest neighbours and their distance in Å.
Space group Pm-3m (No. 221)
One atom of each set of equivalent atoms:
Li1 0.0000 0.0000 0.0000 [1 per cell]  6 Be 2.04
Be1 0.0000 0.0000 0.5000 [3 per cell]  2 Li 2.04
F1 0.5000 0.5000 0.5000 [1 per cell]  12 Be 2.89

Calculated values
The size of the total moment is 0.000 μB/atom. The calculation puts the uncorrected formation energy at 1.0281 eV per atom.



No. 2
First-principles (meta-GGA SCAN) data for a PBEsol-optimized structure of MnZn2CoBr, as listed in Alexandria via LeMat-Bulk.

a = 4.8499 Å, b = 4.8499 Å, c = 4.4703 Å
α = 90.00°, β = 90.00°, γ = 90.00°
Last column: nearest neighbours and their distance in Å.
Space group P4/mmm (No. 123)
One atom of each set of equivalent atoms:
Mn1 0.0000 0.0000 0.0000 [1 per cell]  2 Br 2.24
Zn1 0.0000 0.5000 0.5000 [2 per cell]  2 Br 2.42
Co1 0.5000 0.5000 0.0000 [1 per cell]  8 Zn 3.30, 4 Mn 3.43
Br1 0.0000 0.0000 0.5000 [1 per cell]  2 Mn 2.24, 4 Zn 2.42

Calculated values
The size of the total moment is 1.230 μB/atom. The calculation puts the uncorrected formation energy at 1.2490 eV per atom.



No. 3
First-principles (meta-GGA SCAN) data for a PBEsol-optimized structure of CaLa2P2, as listed in Alexandria via LeMat-Bulk.

a = 7.8505 Å, b = 7.8505 Å, c = 4.0473 Å
α = 90.00°, β = 90.00°, γ = 90.00°
Last column: nearest neighbours and their distance in Å.
Space group P4/mbm (No. 127)
One atom of each set of equivalent atoms:
Ca1 0.0000 0.0000 0.0000 [2 per cell]  4 P 2.96
La1 0.1495 0.3505 0.5000 [4 per cell]  6 P 2.96-3.14
P1 0.1563 0.6563 0.0000 [4 per cell]  6 La 2.96-3.14, 2 Ca 2.96

Calculated values
The size of the total moment is 0.000 μB/atom. As for the formation energy: -1399 meV/atom.



No. 4
First-principles (meta-GGA SCAN) data for a PBEsol-optimized structure of NbAs2W, as listed in Alexandria via LeMat-Bulk.

a = 3.9267 Å, b = 3.9267 Å, c = 18.0854 Å
α = 90.00°, β = 90.00°, γ = 90.00°
Last column: nearest neighbours and their distance in Å.
Space group I-42d (No. 122)
One atom of each set of equivalent atoms:
Nb1 0.0000 0.0000 0.0000 [4 per cell]  4 As 2.66, 4 W 2.78
As1 0.2418 0.2500 0.6250 [8 per cell]  2 W 2.64, 2 Nb 2.66, 4 As 2.73-2.82
W1 0.0000 0.0000 0.5000 [4 per cell]  4 As 2.64, 4 Nb 2.78

Calculated values
The size of the total moment is 0.000 μB/atom. As for the formation energy: 384 meV/atom.



No. 5
First-principles (meta-GGA SCAN) data for a PBEsol-optimized structure of YMg2InNi, as listed in Alexandria via LeMat-Bulk.

a = 4.8419 Å, b = 4.8419 Å, c = 4.9022 Å
α = 90.00°, β = 90.00°, γ = 90.00°
Last column: nearest neighbours and their distance in Å.
Space group P4/mmm (No. 123)
One atom of each set of equivalent atoms:
Y1 0.0000 0.0000 0.0000 [1 per cell]  2 Ni 2.45
Mg1 0.0000 0.5000 0.5000 [2 per cell]  2 Ni 2.42
In1 0.5000 0.5000 0.0000 [1 per cell]  4 Y 3.42, 8 Mg 3.45
Ni1 0.0000 0.0000 0.5000 [1 per cell]  4 Mg 2.42, 2 Y 2.45

Calculated values
The size of the total moment is 0.000 μB/atom. As for the formation energy: -192 meV/atom.



No. 6
First-principles (meta-GGA SCAN) data for a PBEsol-optimized structure of FeSnS2, as listed in Alexandria via LeMat-Bulk.

a = 3.8175 Å, b = 3.8175 Å, c = 21.9571 Å
α = 90.00°, β = 90.00°, γ = 120.00°
Last column: nearest neighbours and their distance in Å.
Space group R-3m (No. 166, hexagonal axes)
One atom of each set of equivalent atoms:
Fe1 0.0000 0.0000 0.0000 [3 per cell]  2 S 2.13
Sn1 0.0000 0.0000 0.5000 [3 per cell]  6 S 2.69
S1 0.0000 0.0000 0.0968 [6 per cell]  1 Fe 2.13

Calculated values
The size of the total moment is 0.776 μB/atom. The calculation puts the uncorrected formation energy at 0.0568 eV per atom.



No. 7
First-principles (meta-GGA SCAN) data for a PBEsol-optimized structure of MnAl2Au, as listed in Alexandria via LeMat-Bulk.

a = 4.0115 Å, b = 4.0115 Å, c = 3.5503 Å
α = 90.00°, β = 90.00°, γ = 90.00°
Last column: nearest neighbours and their distance in Å.
Space group P4/mmm (No. 123)
One atom of each set of equivalent atoms:
Mn1 0.0000 0.0000 0.0000 [1 per cell]  8 Al 2.68, 4 Au 2.84
Al1 0.0000 0.5000 0.5000 [2 per cell]  4 Mn 2.68, 4 Au 2.68, 4 Al 2.84
Au1 0.5000 0.5000 0.0000 [1 per cell]  8 Al 2.68, 4 Mn 2.84

Calculated values
The size of the total moment is 0.761 μB/atom. As for the formation energy: -551 meV/atom.



No. 8
First-principles (meta-GGA SCAN) data for a PBEsol-optimized structure of HoTmCd2, as listed in Alexandria via LeMat-Bulk.

a = 7.2887 Å, b = 7.2887 Å, c = 7.2887 Å
α = 90.00°, β = 90.00°, γ = 90.00°
Last column: nearest neighbours and their distance in Å.
Space group Fm-3m (No. 225)
One atom of each set of equivalent atoms:
Ho1 0.0000 0.0000 0.0000 [4 per cell]  8 Cd 3.16
Tm1 0.0000 0.0000 0.5000 [4 per cell]  8 Cd 3.16
Cd1 0.2500 0.2500 0.2500 [8 per cell]  4 Tm 3.16, 4 Ho 3.16

Calculated values
The size of the total moment is 0.000 μB/atom. As for the formation energy: -428 meV/atom.



No. 9
First-principles (meta-GGA SCAN) data for a PBEsol-optimized structure of Sc4Te3N2, as listed in Alexandria via LeMat-Bulk.

a = 6.7562 Å, b = 11.1209 Å, c = 10.5228 Å
α = 90.00°, β = 90.00°, γ = 90.00°
Last column: nearest neighbours and their distance in Å.
Space group Pnma (No. 62)
One atom of each set of equivalent atoms:
Sc1 0.0788 0.2500 0.1258 [4 per cell]  2 N 2.10
Sc2 0.1710 0.7500 0.1122 [4 per cell]  2 N 2.01
Sc3 0.1945 0.0184 0.9327 [8 per cell]  2 N 2.04-2.09
Te1 0.0895 0.5687 0.6768 [8 per cell]  5 Sc 2.95-3.11
Te2 0.1034 0.7500 0.3781 [4 per cell]  4 Sc 2.84-2.97
N1 0.0406 0.6248 0.0030 [8 per cell]  4 Sc 2.01-2.10

Calculated values
The size of the total moment is 0.000 μB/atom. The calculation puts the uncorrected formation energy at -1.6330 eV per atom.



No. 10
First-principles (meta-GGA SCAN) data for a PBEsol-optimized structure of SrNiBr, as listed in Alexandria via LeMat-Bulk.

a = 3.5814 Å, b = 3.5814 Å, c = 10.6274 Å
α = 90.00°, β = 90.00°, γ = 90.00°
Last column: nearest neighbours and their distance in Å.
Space group I4mm (No. 107)
One atom of each set of equivalent atoms:
Sr1 0.0000 0.0000 0.0000 [2 per cell]  4 Ni 3.09, 5 Br 3.22-3.33
Ni1 0.0000 0.0000 0.3329 [2 per cell]  4 Br 2.97, 4 Sr 3.09
Br1 0.0000 0.0000 0.6868 [2 per cell]  4 Ni 2.97, 4 Sr 3.22

Calculated values
The size of the total moment is 0.331 μB/atom. The calculation puts the uncorrected formation energy at -0.3319 eV per atom.



No. 11
First-principles (meta-GGA SCAN) data for a PBEsol-optimized structure of SrTl5, as listed in Alexandria via LeMat-Bulk.

a = 11.4114 Å, b = 4.7402 Å, c = 6.9981 Å
α = 90.00°, β = 114.33°, γ = 90.00°
Last column: nearest neighbours and their distance in Å.
Space group C2/m (No. 12)
One atom of each set of equivalent atoms:
Sr1 0.0000 0.0000 0.0000 [2 per cell]  12 Tl 3.40-3.54
Tl1 0.0000 0.0000 0.5000 [2 per cell]  10 Tl 3.28-3.57, 2 Sr 3.50
Tl2 0.1635 0.5000 0.8244 [4 per cell]  9 Tl 3.28-3.58, 3 Sr 3.52-3.54
Tl3 0.1785 0.5000 0.3447 [4 per cell]  6 Tl 3.18-3.47, 2 Sr 3.40

Calculated values
The size of the total moment is 0.000 μB/atom. As for the formation energy: -230 meV/atom. Its energy above the lowest structure with this stoichiometry is 0.016 eV per atom.



No. 12
First-principles (meta-GGA SCAN) data for a PBEsol-optimized structure of ScAg5, as listed in Alexandria via LeMat-Bulk.

a = 4.1583 Å, b = 12.2704 Å, c = 4.0515 Å
α = 90.00°, β = 90.00°, γ = 90.00°
Last column: nearest neighbours and their distance in Å.
Space group Cmmm (No. 65)
One atom of each set of equivalent atoms:
Sc1 0.0000 0.0000 0.0000 [2 per cell]  12 Ag 2.89-2.91
Ag1 0.0000 0.1685 0.5000 [4 per cell]  10 Ag 2.87-2.93, 2 Sc 2.89
Ag2 0.0000 0.3336 0.0000 [4 per cell]  10 Ag 2.87-2.92, 2 Sc 2.91
Ag3 0.0000 0.5000 0.5000 [2 per cell]  8 Ag 2.88-2.93, 4 Sc 2.90

Calculated values
The size of the total moment is 0.000 μB/atom. As for the formation energy: -117 meV/atom.